## Nb4Co2N (PBE)

Data for crystalline Nb4Co2N at its relaxed geometry.

Values from the calculation:
Crystal system: cubic
Electronic total energy, eV/cell: -1059.90

Lattice parameters (Å, degrees): 11.640 11.640 11.640 90.00 90.00 90.00
Space group Fd-3m (No. 227, origin choice 2)
Symmetry-distinct sites (fractional):
Nb 0.000 0.000 0.000 x16
Nb 0.061 0.375 0.875 x48
Co 0.047 0.047 0.203 x32
N 0.000 0.000 0.500 x16